The following is a DFT calculation (PBE) of Mg3Al9Ir2 after structural relaxation.

## Properties
Its magnetic moment is 0.00 μB per atom. The calculation puts the calculated density at 4.80 Mg/m³. As for the energy of formation from the pure elements: -4.21 eV per formula unit.

a = 7.890 Å, b = 7.890 Å, c = 7.890 Å
α = 148.94°, β = 101.03°, γ = 87.25°
Positions (direct):
Mg (0.000, 0.000, 0.000)
Mg (0.291, 0.291, 0.000)
Mg (0.709, 0.709, 0.000)
Al (0.001, 0.634, 0.367)
Al (0.151, 0.863, 0.288)
Al (0.267, 0.634, 0.633)
Al (0.425, 0.137, 0.288)
Al (0.500, 0.000, 0.500)
Al (0.575, 0.863, 0.712)
Al (0.733, 0.366, 0.367)
Al (0.849, 0.137, 0.712)
Al (0.999, 0.366, 0.633)
Ir (0.341, 0.500, 0.841)
Ir (0.659, 0.500, 0.159)

The following is a DFT calculation (PBE) of Mg2AlIr after structural relaxation.

## Properties
Its magnetic moment is 0.05 μB per atom. The calculation puts the calculated density at 6.46 Mg/m³. As for the energy of formation from the pure elements: -0.39 eV per formula unit.

a = 9.177 Å, b = 9.177 Å, c = 9.177 Å
α = 18.61°, β = 18.61°, γ = 18.61°
Positions (direct):
Mg (0.244, 0.244, 0.244)
Mg (0.756, 0.756, 0.756)
Al (0.000, 0.000, 0.000)
Ir (0.500, 0.500, 0.500)

The following is a DFT calculation (PBE) of MgAlIr3 after structural relaxation.

## Properties
Its magnetic moment is 0.00 μB per atom. The calculation puts the calculated density at 11.60 Mg/m³. As for the energy of formation from the pure elements: 3.00 eV per formula unit.

a = 4.479 Å, b = 4.479 Å, c = 4.479 Å
α = 90.00°, β = 90.00°, γ = 90.00°
Positions (direct):
Mg (0.000, 0.000, 0.000)
Al (0.500, 0.500, 0.500)
Ir (0.000, 0.500, 0.500)
Ir (0.500, 0.000, 0.500)
Ir (0.500, 0.500, 0.000)

The following is a DFT calculation (PBE) of Mg16Al12Ir after structural relaxation.

## Properties
Its magnetic moment is 0.00 μB per atom. The calculation puts the calculated density at 2.64 Mg/m³. As for the energy of formation from the pure elements: -1.81 eV per formula unit.

a = 8.975 Å, b = 8.975 Å, c = 8.975 Å
α = 108.89°, β = 108.89°, γ = 108.89°
Positions (direct):
Mg (0.000, 0.000, 0.000)
Mg (0.016, 0.016, 0.661)
Mg (0.016, 0.661, 0.016)
Mg (0.026, 0.425, 0.696)
Mg (0.026, 0.696, 0.425)
Mg (0.330, 0.580, 0.580)
Mg (0.334, 0.334, 0.744)
Mg (0.334, 0.744, 0.334)
Mg (0.425, 0.026, 0.696)
Mg (0.425, 0.696, 0.026)
Mg (0.580, 0.330, 0.580)
Mg (0.580, 0.580, 0.330)
Mg (0.661, 0.016, 0.016)
Mg (0.696, 0.026, 0.425)
Mg (0.696, 0.425, 0.026)
Mg (0.744, 0.334, 0.334)
Al (0.020, 0.199, 0.380)
Al (0.020, 0.380, 0.199)
Al (0.199, 0.020, 0.380)
Al (0.199, 0.380, 0.020)
Al (0.221, 0.825, 0.825)
Al (0.380, 0.020, 0.199)
Al (0.380, 0.199, 0.020)
Al (0.669, 0.669, 0.861)
Al (0.669, 0.861, 0.669)
Al (0.825, 0.221, 0.825)
Al (0.825, 0.825, 0.221)
Al (0.861, 0.669, 0.669)
Ir (0.281, 0.281, 0.281)

The following is a DFT calculation (PBE) of MgAlIr2 after structural relaxation.

## Properties
Its magnetic moment is 0.00 μB per atom. The calculation puts the calculated density at 11.91 Mg/m³. As for the energy of formation from the pure elements: -0.77 eV per formula unit.

a = 4.412 Å, b = 4.412 Å, c = 4.412 Å
α = 60.00°, β = 60.00°, γ = 60.00°
Positions (direct):
Mg (0.000, 0.000, 0.000)
Al (0.750, 0.750, 0.750)
Ir (0.250, 0.250, 0.250)
Ir (0.500, 0.500, 0.500)

The following is a DFT calculation (PBE) of MgAlIr after structural relaxation.

## Properties
Its magnetic moment is 0.00 μB per atom. The calculation puts the calculated density at 8.57 Mg/m³. As for the energy of formation from the pure elements: -1.65 eV per formula unit.

a = 4.401 Å, b = 4.401 Å, c = 5.620 Å
α = 90.00°, β = 90.00°, γ = 119.94°
Positions (direct):
Mg (0.000, 0.000, 0.000)
Mg (0.000, 0.000, 0.500)
Al (0.331, 0.669, 0.750)
Al (0.669, 0.331, 0.250)
Ir (0.337, 0.663, 0.250)
Ir (0.663, 0.337, 0.750)

The following is a DFT calculation (PBE) of MgAl2Ir after structural relaxation.

## Properties
Its magnetic moment is 0.00 μB per atom. The calculation puts the calculated density at 7.17 Mg/m³. As for the energy of formation from the pure elements: -1.72 eV per formula unit.

a = 2.958 Å, b = 3.727 Å, c = 5.681 Å
α = 90.00°, β = 90.00°, γ = 90.00°
Positions (direct):
Mg (0.000, 0.000, 0.000)
Al (0.500, 0.500, 0.273)
Al (0.500, 0.500, 0.727)
Ir (0.000, 0.000, 0.500)

The following is a DFT calculation (PBE) of MgAlIr2 after structural relaxation.

## Properties
Its magnetic moment is 0.00 μB per atom. The calculation puts the calculated density at 11.53 Mg/m³. As for the energy of formation from the pure elements: -0.07 eV per formula unit.

a = 2.796 Å, b = 2.796 Å, c = 9.082 Å
α = 90.00°, β = 90.00°, γ = 117.86°
Positions (direct):
Mg (0.000, 0.000, 0.000)
Al (0.500, 0.500, 0.721)
Ir (0.000, 0.000, 0.500)
Ir (0.500, 0.500, 0.240)

The following is a DFT calculation (PBE) of Mg2AlIr after structural relaxation.

## Properties
Its magnetic moment is 0.00 μB per atom. The calculation puts the calculated density at 6.39 Mg/m³. As for the energy of formation from the pure elements: -1.54 eV per formula unit.

a = 3.149 Å, b = 3.149 Å, c = 7.020 Å
α = 90.00°, β = 90.00°, γ = 90.00°
Positions (direct):
Mg (0.000, 0.000, 0.000)
Mg (0.500, 0.500, 0.315)
Al (0.000, 0.000, 0.585)
Ir (0.500, 0.500, 0.760)

The following is a DFT calculation (PBE) of MgAl4Ir after structural relaxation.

## Properties
Its magnetic moment is 0.00 μB per atom. The calculation puts the calculated density at 5.59 Mg/m³. As for the energy of formation from the pure elements: 0.01 eV per formula unit.

a = 5.145 Å, b = 5.145 Å, c = 5.145 Å
α = 60.00°, β = 60.00°, γ = 60.00°
Positions (direct):
Mg (0.000, 0.000, 0.000)
Al (0.126, 0.625, 0.625)
Al (0.625, 0.126, 0.625)
Al (0.625, 0.625, 0.126)
Al (0.625, 0.625, 0.625)
Ir (0.250, 0.250, 0.250)

The following is a DFT calculation (PBE) of MgAlIr2 after structural relaxation.

## Properties
Its magnetic moment is 0.00 μB per atom. The calculation puts the calculated density at 12.03 Mg/m³. As for the energy of formation from the pure elements: -1.00 eV per formula unit.

a = 3.189 Å, b = 3.189 Å, c = 5.913 Å
α = 90.00°, β = 90.00°, γ = 90.00°
Positions (direct):
Mg (0.000, 0.000, 0.000)
Al (0.500, 0.500, 0.277)
Ir (0.000, 0.000, 0.476)
Ir (0.500, 0.500, 0.786)

The following is a DFT calculation (PBE) of MgAl4Ir2 after structural relaxation.

## Properties
Its magnetic moment is 0.00 μB per atom. The calculation puts the calculated density at 7.57 Mg/m³. As for the energy of formation from the pure elements: -4.30 eV per formula unit.

a = 16.560 Å, b = 4.270 Å, c = 6.411 Å
α = 90.00°, β = 90.00°, γ = 90.00°
Positions (direct):
Mg (0.174, 0.250, 0.209)
Mg (0.326, 0.750, 0.709)
Mg (0.674, 0.250, 0.291)
Mg (0.826, 0.750, 0.791)
Al (0.003, 0.250, 0.122)
Al (0.063, 0.250, 0.554)
Al (0.175, 0.750, 0.929)
Al (0.180, 0.750, 0.503)
Al (0.320, 0.250, 0.003)
Al (0.325, 0.250, 0.429)
Al (0.437, 0.750, 0.054)
Al (0.497, 0.750, 0.622)
Al (0.503, 0.250, 0.378)
Al (0.563, 0.250, 0.946)
Al (0.675, 0.750, 0.571)
Al (0.680, 0.750, 0.997)
Al (0.820, 0.250, 0.497)
Al (0.825, 0.250, 0.071)
Al (0.937, 0.750, 0.446)
Al (0.997, 0.750, 0.878)
Ir (0.067, 0.750, 0.238)
Ir (0.210, 0.250, 0.706)
Ir (0.290, 0.750, 0.206)
Ir (0.433, 0.250, 0.738)
Ir (0.567, 0.750, 0.262)
Ir (0.710, 0.250, 0.794)
Ir (0.790, 0.750, 0.294)
Ir (0.933, 0.250, 0.762)